(1)
{
  "formula": "Sc8Ni2Bi",
  "functional": "PBE-GGA",
  "state": "optimized geometry",
  "magmom_total_mub_per_atom": 0.001,
  "vol_a3_per_atom": 22.2,
  "delta_e_f_ev_per_fu": -2.82,
  "lattice": [[4.9142, -0.0634, -0.0951], [-0.9023, 7.4427, -0.1793], [-0.9023, -3.0320, 6.7995]],
  "species": ["Sc", "Sc", "Sc", "Sc", "Sc", "Sc", "Sc", "Sc", "Ni", "Ni", "Bi"],
  "frac_coords": [[0.7042, 0.4028, 0.4028], [0.0806, 0.0797, 0.3378], [0.2958, 0.5972, 0.5972], [0.5000, 0.7492, 0.2508], [0.9194, 0.9203, 0.6622], [0.5000, 0.2508, 0.7492], [0.9194, 0.6622, 0.9203], [0.0806, 0.3378, 0.0797], [0.0000, 0.3048, 0.6952], [0.0000, 0.6952, 0.3048], [0.5000, 0.0000, 0.0000]]
}



(2)
{
  "formula": "Sc2Ni2Bi",
  "functional": "PBE-GGA",
  "state": "optimized geometry",
  "magmom_total_mub_per_atom": 0.000,
  "vol_a3_per_atom": 18.1,
  "delta_e_f_ev_per_fu": -2.50,
  "lattice": [[-2.2426, -0.0793, 6.9207], [-6.0849, -3.4438, -2.0113], [1.5475, -3.0069, 0.4670]],
  "species": ["Bi", "Bi", "Ni", "Ni", "Ni", "Ni", "Sc", "Sc", "Sc", "Sc"],
  "frac_coords": [[0.5000, 0.5000, 0.0000], [0.0000, 0.0000, 0.0000], [0.6209, 0.1209, 0.0000], [0.1209, 0.3791, 0.0000], [0.8791, 0.6209, 0.0000], [0.3791, 0.8791, 0.0000], [0.1641, 0.6641, 0.5000], [0.8359, 0.3359, 0.5000], [0.3359, 0.1641, 0.5000], [0.6641, 0.8359, 0.5000]]
}



(3)
{
  "formula": "Sc2NiBi",
  "functional": "PBE-GGA",
  "state": "optimized geometry",
  "magmom_total_mub_per_atom": 0.000,
  "vol_a3_per_atom": 25.4,
  "delta_e_f_ev_per_fu": -0.53,
  "lattice": [[2.0919, 0.0000, 8.9264], [-1.0460, 1.8116, 8.9264], [-1.0460, -1.8116, 8.9264]],
  "species": ["Bi", "Sc", "Sc", "Ni"],
  "frac_coords": [[0.0000, 0.0000, 0.0000], [0.8866, 0.8866, 0.8866], [0.1134, 0.1134, 0.1134], [0.5000, 0.5000, 0.5000]]
}



(4)
{
  "formula": "Sc4NiBi",
  "functional": "PBE-GGA",
  "state": "optimized geometry",
  "magmom_total_mub_per_atom": 0.000,
  "vol_a3_per_atom": 23.3,
  "delta_e_f_ev_per_fu": -1.67,
  "lattice": [[5.6903, 0.0000, 0.0000], [0.0000, 7.1067, 0.3678], [-2.8452, -2.5808, 6.7769]],
  "species": ["Bi", "Bi", "Sc", "Sc", "Sc", "Sc", "Sc", "Sc", "Sc", "Sc", "Ni", "Ni"],
  "frac_coords": [[0.8688, 0.7500, 0.0000], [0.1312, 0.2500, 0.0000], [0.7004, 0.3513, 0.6275], [0.7034, 0.4513, 0.1685], [0.9271, 0.8513, 0.6275], [0.2966, 0.5487, 0.8315], [0.4651, 0.9513, 0.1685], [0.0729, 0.1487, 0.3725], [0.5349, 0.0487, 0.8315], [0.2996, 0.6487, 0.3725], [0.5000, 0.0000, 0.5000], [0.0000, 0.5000, 0.5000]]
}



(5)
{
  "formula": "Sc2Ni2Bi",
  "functional": "PBE-GGA",
  "state": "optimized geometry",
  "magmom_total_mub_per_atom": 0.000,
  "vol_a3_per_atom": 19.4,
  "delta_e_f_ev_per_fu": -1.09,
  "lattice": [[-5.1624, 0.1526, -5.7312], [2.3180, -6.9982, -2.2742], [-2.2188, -1.3726, 1.9621]],
  "species": ["Sc", "Sc", "Sc", "Sc", "Ni", "Ni", "Ni", "Ni", "Bi", "Bi"],
  "frac_coords": [[0.3527, 0.8527, 0.0000], [0.1473, 0.3527, 0.0000], [0.8527, 0.6473, 0.0000], [0.6473, 0.1473, 0.0000], [0.6242, 0.8758, 0.5000], [0.8758, 0.3758, 0.5000], [0.3758, 0.1242, 0.5000], [0.1242, 0.6242, 0.5000], [0.0000, 0.0000, 0.0000], [0.5000, 0.5000, 0.0000]]
}



(6)
{
  "formula": "ScNiBi2",
  "functional": "PBE-GGA",
  "state": "optimized geometry",
  "magmom_total_mub_per_atom": 0.000,
  "vol_a3_per_atom": 23.8,
  "delta_e_f_ev_per_fu": -0.35,
  "lattice": [[7.7416, 0.0000, 0.0000], [0.0000, 7.7416, 0.0000], [3.8708, 3.8708, 3.1769]],
  "species": ["Bi", "Bi", "Bi", "Bi", "Sc", "Sc", "Ni", "Ni"],
  "frac_coords": [[0.0742, 0.6250, 0.2500], [0.8750, 0.9258, 0.7500], [0.6758, 0.1250, 0.2500], [0.3750, 0.3242, 0.7500], [0.5000, 0.5000, 0.0000], [0.2500, 0.7500, 0.5000], [0.0000, 0.0000, 0.0000], [0.7500, 0.2500, 0.5000]]
}



(7)
{
  "formula": "ScNiBi3",
  "functional": "PBE-GGA",
  "state": "optimized geometry",
  "magmom_total_mub_per_atom": 0.000,
  "vol_a3_per_atom": 27.7,
  "delta_e_f_ev_per_fu": 0.91,
  "lattice": [[5.1751, 0.0000, 0.0000], [0.0000, 5.1751, 0.0000], [0.0000, 0.0000, 5.1751]],
  "species": ["Ni", "Bi", "Bi", "Bi", "Sc"],
  "frac_coords": [[0.0000, 0.0000, 0.0000], [0.5000, 0.0000, 0.0000], [0.0000, 0.5000, 0.0000], [0.0000, 0.0000, 0.5000], [0.5000, 0.5000, 0.5000]]
}



(8)
{
  "formula": "ScNiBi3",
  "functional": "PBE-GGA",
  "state": "optimized geometry",
  "magmom_total_mub_per_atom": 0.091,
  "vol_a3_per_atom": 33.7,
  "delta_e_f_ev_per_fu": 3.69,
  "lattice": [[-3.2338, 1.1946, 4.3178], [-3.0935, -4.4472, -1.0865], [3.2405, -3.0533, 3.2717]],
  "species": ["Sc", "Bi", "Bi", "Bi", "Ni"],
  "frac_coords": [[0.0000, 0.0000, 0.0000], [0.5000, 0.0000, 0.0000], [0.0000, 0.0000, 0.5000], [0.0000, 0.5000, 0.0000], [0.5000, 0.5000, 0.5000]]
}



(9)
{
  "formula": "Sc2NiBi",
  "functional": "PBE-GGA",
  "state": "optimized geometry",
  "magmom_total_mub_per_atom": 0.000,
  "vol_a3_per_atom": 21.9,
  "delta_e_f_ev_per_fu": -0.94,
  "lattice": [[7.5112, 0.0000, 0.0000], [0.0000, 7.5112, 0.0000], [3.7556, 3.7556, 3.1073]],
  "species": ["Sc", "Sc", "Sc", "Sc", "Bi", "Bi", "Ni", "Ni"],
  "frac_coords": [[0.8750, 0.8173, 0.7500], [0.1827, 0.6250, 0.2500], [0.3750, 0.4327, 0.7500], [0.5673, 0.1250, 0.2500], [0.0000, 0.0000, 0.0000], [0.7500, 0.2500, 0.5000], [0.2500, 0.7500, 0.5000], [0.5000, 0.5000, 0.0000]]
}



(10)
{
  "formula": "ScNi2Bi2",
  "functional": "PBE-GGA",
  "state": "optimized geometry",
  "magmom_total_mub_per_atom": 0.000,
  "vol_a3_per_atom": 19.6,
  "delta_e_f_ev_per_fu": -0.71,
  "lattice": [[7.0958, 0.0000, 0.0000], [0.0000, 7.0958, 0.0000], [0.0000, 0.0000, 3.8914]],
  "species": ["Ni", "Ni", "Ni", "Ni", "Bi", "Bi", "Bi", "Bi", "Sc", "Sc"],
  "frac_coords": [[0.8788, 0.6212, 0.0000], [0.1212, 0.3788, 0.0000], [0.3788, 0.8788, 0.0000], [0.6212, 0.1212, 0.0000], [0.3216, 0.1784, 0.5000], [0.8216, 0.3216, 0.5000], [0.1784, 0.6784, 0.5000], [0.6784, 0.8216, 0.5000], [0.5000, 0.5000, 0.0000], [0.0000, 0.0000, 0.0000]]
}



(11)
{
  "formula": "Sc5NiBi2",
  "functional": "PBE-GGA",
  "state": "optimized geometry",
  "magmom_total_mub_per_atom": 0.000,
  "vol_a3_per_atom": 23.3,
  "delta_e_f_ev_per_fu": -3.98,
  "lattice": [[-2.2517, -2.5706, -2.6142], [6.2366, -1.6348, -3.7641], [1.9496, -8.9423, 7.1140]],
  "species": ["Bi", "Bi", "Bi", "Bi", "Ni", "Ni", "Sc", "Sc", "Sc", "Sc", "Sc", "Sc", "Sc", "Sc", "Sc", "Sc"],
  "frac_coords": [[0.5000, 0.9298, 0.6743], [0.5000, 0.4298, 0.8257], [0.5000, 0.5702, 0.1743], [0.5000, 0.0702, 0.3257], [0.0000, 0.0000, 0.0000], [0.0000, 0.5000, 0.5000], [0.5000, 0.3216, 0.5604], [0.0000, 0.8634, 0.1943], [0.0000, 0.1366, 0.8057], [0.0000, 0.3634, 0.3057], [0.5000, 0.6784, 0.4396], [0.0000, 0.6366, 0.6943], [0.5000, 0.1784, 0.0604], [0.0000, 0.5000, 0.0000], [0.5000, 0.8216, 0.9396], [0.0000, 0.0000, 0.5000]]
}



(12)
{
  "formula": "ScNiBi2",
  "functional": "PBE-GGA",
  "state": "optimized geometry",
  "magmom_total_mub_per_atom": 0.000,
  "vol_a3_per_atom": 22.7,
  "delta_e_f_ev_per_fu": 0.12,
  "lattice": [[0.0000, 3.5673, 3.5673], [3.5673, 0.0000, 3.5673], [3.5673, 3.5673, 0.0000]],
  "species": ["Bi", "Bi", "Ni", "Sc"],
  "frac_coords": [[0.2500, 0.2500, 0.2500], [0.7500, 0.7500, 0.7500], [0.5000, 0.5000, 0.5000], [0.0000, 0.0000, 0.0000]]
}



(13)
{
  "formula": "Sc2Ni2Bi",
  "functional": "PBE-GGA",
  "state": "optimized geometry",
  "magmom_total_mub_per_atom": 0.000,
  "vol_a3_per_atom": 19.5,
  "delta_e_f_ev_per_fu": -1.39,
  "lattice": [[-4.3744, 0.1959, 0.3974], [-0.1542, -4.3702, 0.4575], [-1.7879, -1.5810, 5.4221]],
  "species": ["Sc", "Sc", "Ni", "Ni", "Bi"],
  "frac_coords": [[0.2500, 0.7500, 0.5000], [0.7500, 0.2500, 0.5000], [0.6120, 0.6120, 0.7761], [0.3880, 0.3880, 0.2239], [0.0000, 0.0000, 0.0000]]
}



(14)
{
  "formula": "ScNi2Bi2",
  "functional": "PBE-GGA",
  "state": "optimized geometry",
  "magmom_total_mub_per_atom": 0.000,
  "vol_a3_per_atom": 21.0,
  "delta_e_f_ev_per_fu": 0.11,
  "lattice": [[-0.8734, 4.4674, -1.9282], [-4.8434, -0.6107, 0.7789], [-2.4534, 3.6911, 3.3259]],
  "species": ["Ni", "Ni", "Bi", "Bi", "Sc"],
  "frac_coords": [[0.3642, 0.3642, 0.2715], [0.6358, 0.6358, 0.7285], [0.7500, 0.2500, 0.5000], [0.2500, 0.7500, 0.5000], [0.0000, 0.0000, 0.0000]]
}



(15)
{
  "formula": "ScNi3Bi",
  "functional": "PBE-GGA",
  "state": "optimized geometry",
  "magmom_total_mub_per_atom": 0.000,
  "vol_a3_per_atom": 21.0,
  "delta_e_f_ev_per_fu": 3.49,
  "lattice": [[4.7171, 0.0000, 0.0000], [0.0000, 4.7171, 0.0000], [0.0000, 0.0000, 4.7171]],
  "species": ["Sc", "Bi", "Ni", "Ni", "Ni"],
  "frac_coords": [[0.5000, 0.5000, 0.5000], [0.0000, 0.0000, 0.0000], [0.5000, 0.0000, 0.0000], [0.0000, 0.5000, 0.0000], [0.0000, 0.0000, 0.5000]]
}



(16)
{
  "formula": "Sc6Ni2Bi",
  "functional": "PBE-GGA",
  "state": "optimized geometry",
  "magmom_total_mub_per_atom": 0.000,
  "vol_a3_per_atom": 21.3,
  "delta_e_f_ev_per_fu": -3.55,
  "lattice": [[7.4706, -0.0314, -2.6752], [-3.9911, 6.4811, -2.2433], [-0.0352, 0.0314, 7.9350]],
  "species": ["Sc", "Sc", "Sc", "Sc", "Sc", "Sc", "Sc", "Sc", "Sc", "Sc", "Sc", "Sc", "Ni", "Ni", "Ni", "Ni", "Bi", "Bi"],
  "frac_coords": [[0.7814, 0.7693, 0.5507], [0.3055, 0.6291, 0.3237], [0.3055, 0.9818, 0.6763], [0.4812, 0.2970, 0.1841], [0.2186, 0.2307, 0.4493], [0.6945, 0.0182, 0.3237], [0.1129, 0.2970, 0.8159], [0.5188, 0.7030, 0.8159], [0.2186, 0.7693, 0.9879], [0.7814, 0.2307, 0.0121], [0.6945, 0.3709, 0.6763], [0.8871, 0.7030, 0.1841], [0.5000, 0.6290, 0.1290], [0.5000, 0.3710, 0.8710], [0.6438, 0.0000, 0.6438], [0.3562, 0.0000, 0.3562], [0.0000, 0.0000, 0.0000], [0.0000, 0.5000, 0.5000]]
}



(17)
{
  "formula": "Sc2Ni2Bi",
  "functional": "PBE-GGA",
  "state": "optimized geometry",
  "magmom_total_mub_per_atom": 0.000,
  "vol_a3_per_atom": 19.9,
  "delta_e_f_ev_per_fu": -1.52,
  "lattice": [[3.4864, 0.0000, 0.0000], [0.0000, 3.4864, 0.0000], [1.7432, 1.7432, 8.1657]],
  "species": ["Ni", "Ni", "Sc", "Sc", "Bi"],
  "frac_coords": [[0.2500, 0.7500, 0.5000], [0.7500, 0.2500, 0.5000], [0.3672, 0.3672, 0.2657], [0.6328, 0.6328, 0.7343], [0.0000, 0.0000, 0.0000]]
}



(18)
{
  "formula": "ScNi2Bi",
  "functional": "PBE-GGA",
  "state": "optimized geometry",
  "magmom_total_mub_per_atom": 0.000,
  "vol_a3_per_atom": 19.1,
  "delta_e_f_ev_per_fu": 0.43,
  "lattice": [[4.2109, 0.0000, 0.0000], [0.0000, 4.2109, 0.0000], [2.1054, 2.1054, 8.6244]],
  "species": ["Sc", "Sc", "Ni", "Ni", "Ni", "Ni", "Bi", "Bi"],
  "frac_coords": [[0.5000, 0.5000, 0.0000], [0.2500, 0.7500, 0.5000], [0.8750, 0.8594, 0.7500], [0.6094, 0.1250, 0.2500], [0.1406, 0.6250, 0.2500], [0.3750, 0.3906, 0.7500], [0.7500, 0.2500, 0.5000], [0.0000, 0.0000, 0.0000]]
}



(19)
{
  "formula": "ScTcNiBi2",
  "functional": "PBE-GGA",
  "state": "optimized geometry",
  "magmom_total_mub_per_atom": 0.492,
  "vol_a3_per_atom": 23.9,
  "delta_e_f_ev_per_fu": 3.39,
  "lattice": [[5.0789, 0.0000, 0.0000], [0.0000, 4.6316, 0.0000], [0.0000, 0.0000, 5.0789]],
  "species": ["Bi", "Bi", "Ni", "Tc", "Sc"],
  "frac_coords": [[0.5000, 0.0000, 0.0000], [0.0000, 0.0000, 0.5000], [0.0000, 0.0000, 0.0000], [0.5000, 0.5000, 0.5000], [0.0000, 0.5000, 0.0000]]
}



(20)
{
  "formula": "Sc2TiNiBi",
  "functional": "PBE-GGA",
  "state": "optimized geometry",
  "magmom_total_mub_per_atom": 0.000,
  "vol_a3_per_atom": 22.1,
  "delta_e_f_ev_per_fu": -1.08,
  "lattice": [[-4.0790, 2.6578, 0.7629], [-0.7636, -2.2809, 3.8636], [2.6386, 3.3347, 2.4902]],
  "species": ["Ti", "Sc", "Sc", "Ni", "Bi"],
  "frac_coords": [[0.0000, 0.5000, 0.0000], [0.0000, 0.0000, 0.5000], [0.5000, 0.0000, 0.0000], [0.0000, 0.0000, 0.0000], [0.5000, 0.5000, 0.5000]]
}